[1]
Here is crystalline PmCr2B6 at its relaxed geometry from the Alexandria database. Energies are from PBE.

Cell lengths 3.099, 6.553, 8.318 Å; angles 90.00, 90.00, 90.00 degrees
Space group Immm (No. 71)
Symmetry-distinct sites (fractional):
Pm (0.000, 0.000, 0.000)
Cr (0.000, 0.500, 0.154)
B (0.000, 0.140, 0.500)
B (0.000, 0.236, 0.303)

Energy relative to the elements   -553 meV/atom
Size of the total moment   0.00 μB per formula unit



[2]
Here is crystalline TmTiO3 at its relaxed geometry from the Alexandria database. Energies are from PBE.

Cell lengths 7.274, 3.345, 5.147 Å; angles 90.00, 90.00, 90.00 degrees
Space group Pmma (No. 51)
Symmetry-distinct sites (fractional):
Tm (0.250, 0.000, 0.053)
Ti (0.000, 0.500, 0.500)
O (0.043, 0.000, 0.742)
O (0.250, 0.500, 0.320)

Size of the total moment   0.95 μB per formula unit
Formation energy (no corrections)   -3.10 eV per atom